Entry 1:
ReHg | PBE-GGA | optimized geometry

Output
Excess energy over the best structure of this formula in the dataset, eV/atom: 0.284
Space group: Amm2
Crystal system: orthorhombic
Energy of formation from the pure elements, eV per atom: 0.68
Density of states at the Fermi level, states/eV per cell: 9.30

abc: 2.8830 12.8057 6.8014
angles: 90.00 90.00 90.00
With the nearest neighbours (Å) after each atom.
Positions (direct):
Re 0.5000 0.8966 0.5641  3 Re 2.53-2.65
Re 0.5000 0.1034 0.5641  3 Re 2.53-2.65
Re 0.5000 0.3966 0.0641  3 Re 2.53-2.65
Re 0.5000 0.6034 0.0641  3 Re 2.53-2.65
Re 0.0000 0.0000 0.3282  4 Re 2.53
Re 0.0000 0.5000 0.8282  4 Re 2.53
Hg 0.0000 0.2578 0.7952  2 Hg 2.88, 5 Re 2.91-3.11
Hg 0.0000 0.7422 0.7952  2 Hg 2.88, 5 Re 2.91-3.11
Hg 0.0000 0.7578 0.2952  2 Hg 2.88, 5 Re 2.91-3.11
Hg 0.0000 0.2422 0.2952  2 Hg 2.88, 5 Re 2.91-3.11
Hg 0.5000 0.0000 0.9552  2 Hg 2.88, 4 Re 2.92-2.97
Hg 0.5000 0.5000 0.4552  2 Hg 2.88, 4 Re 2.92-2.97

=====

Entry 2:
Sr2CaF | PBE-GGA | optimized geometry

Output
Excess energy over the best structure of this formula in the dataset, eV/atom: 0.114
Space group: R-3m
Formation energy without anion corrections, kJ per mole of atoms: -117.7
Crystal system: trigonal
Density of states at the Fermi level, states/eV per cell: 4.32

abc: 4.0294 4.0294 10.1761
angles: 78.58 78.58 60.00
With the nearest neighbours (Å) after each atom.
Positions (direct):
Sr 0.7224 0.7224 0.8328  3 F 2.86
Sr 0.2776 0.2776 0.1672  3 F 2.86
Ca 0.5000 0.5000 0.5000  6 Ca 4.03, 6 Sr 4.04
F 0.0000 0.0000 0.0000  6 Sr 2.86

=====

Entry 3:
GeBTe2 | PBE-GGA | optimized geometry

Output
Excess energy over the best structure of this formula in the dataset, eV/atom: 0.000
Space group: I-42d
Formation energy without anion corrections, kJ per mole of atoms: 48.4
Crystal system: tetragonal
Density of states at the Fermi level, states/eV per cell: 4.85

abc: 6.6552 6.6552 6.5029
angles: 59.22 59.22 90.00
With the nearest neighbours (Å) after each atom.
Positions (direct):
Ge 0.0000 0.0000 0.0000  4 Te 2.96
Ge 0.7500 0.2500 0.5000  4 Te 2.96
Te 0.5474 0.1250 0.2500  2 B 2.31
Te 0.2026 0.6250 0.2500  2 B 2.31
Te 0.3750 0.4526 0.7500  2 B 2.31
Te 0.8750 0.7974 0.7500  2 B 2.31
B 0.5000 0.5000 0.0000  4 Te 2.31
B 0.2500 0.7500 0.5000  4 Te 2.31